VASP calculation (PBE) on crystalline Y3GaH at its relaxed geometry.

Lattice parameters (Å, degrees): 4.7590 4.7590 4.7590 90.00 90.00 90.00
Closest atoms and distances in Å follow each position.
Atoms (fractional coordinates):
Y1 0.0000 0.5000 0.0000  2 H 2.38
Y2 0.5000 0.0000 0.0000  2 H 2.38
Y3 0.0000 0.0000 0.5000  2 H 2.38
H1 0.0000 0.0000 0.0000  6 Y 2.38
Ga1 0.5000 0.5000 0.5000  12 Y 3.37

- excess energy over the best structure of this formula in the dataset (meV/atom) = 29
- N(E_F) (states/eV/cell) = 5.3

VASP calculation (PBE) on crystalline Y2ScAg at its relaxed geometry.

Lattice parameters (Å, degrees): 3.4894 3.4894 8.6941 90.00 90.00 90.00
Closest atoms and distances in Å follow each position.
Atoms (fractional coordinates):
Ag1 0.0000 0.0000 0.5230  4 Sc 2.95, 4 Y 3.21
Y1 0.0000 0.0000 0.9827  4 Sc 3.43, 8 Y 3.49-3.61
Y2 0.5000 0.5000 0.2863  4 Ag 3.21, 4 Y 3.49
Sc1 0.5000 0.5000 0.7080  4 Ag 2.95

- excess energy over the best structure of this formula in the dataset (meV/atom) = 12
- N(E_F) (states/eV/cell) = 5.6
- ΔE_f (eV/atom) = -0.107

VASP calculation (PBE) on crystalline Ba2InRhN at its relaxed geometry.

Lattice parameters (Å, degrees): 5.9976 5.9976 3.8317 90.00 90.00 90.00
Closest atoms and distances in Å follow each position.
Atoms (fractional coordinates):
Ba1 0.5000 0.0000 0.0000  2 N 3.00
Ba2 0.0000 0.5000 0.0000  2 N 3.00
Rh1 0.0000 0.0000 0.5000  2 N 1.92
In1 0.5000 0.5000 0.5000  8 Ba 3.56, 2 In 3.83
N1 0.0000 0.0000 0.0000  2 Rh 1.92

- excess energy over the best structure of this formula in the dataset (meV/atom) = 0
- N(E_F) (states/eV/cell) = 3.9
- formation energy from raw total energies (eV per formula unit) = -1.9

VASP calculation (PBE) on crystalline Li3Ni at its relaxed geometry.

Lattice parameters (Å, degrees): 5.3985 5.3985 4.4204 90.00 90.00 120.00
Closest atoms and distances in Å follow each position.
Atoms (fractional coordinates):
Li1 0.1750 0.3500 0.7500  8 Li 2.56-2.83, 4 Ni 2.66-2.70
Li2 0.1750 0.8250 0.7500  8 Li 2.56-2.83, 4 Ni 2.66-2.70
Li3 0.8250 0.6500 0.2500  8 Li 2.56-2.83, 4 Ni 2.66-2.70
Li4 0.6500 0.8250 0.7500  8 Li 2.56-2.83, 4 Ni 2.66-2.70
Li5 0.8250 0.1750 0.2500  8 Li 2.56-2.83, 4 Ni 2.66-2.70
Li6 0.3500 0.1750 0.2500  8 Li 2.56-2.83, 4 Ni 2.66-2.70
Ni1 0.3333 0.6667 0.2500  12 Li 2.66-2.70
Ni2 0.6667 0.3333 0.7500  12 Li 2.66-2.70

- N(E_F) (states/eV/cell) = 4.3
- ΔE_f (eV/atom) = 0.103

VASP calculation (PBE) on crystalline Cu2F13 at its relaxed geometry.

Lattice parameters (Å, degrees): 4.9029 6.2264 7.3566 114.72 88.51 105.75
Closest atoms and distances in Å follow each position.
Atoms (fractional coordinates):
F1 0.8239 0.1839 0.7834  1 Cu 1.78
F2 0.7697 0.0181 0.3373  1 Cu 1.85, 1 F 2.00
F3 0.0970 0.4119 0.3341  1 Cu 1.79
F4 0.3524 0.4695 0.9742  1 F 1.41
F5 0.5079 0.7842 0.7809  1 Cu 1.78
F6 0.2740 0.2348 0.5551  1 Cu 1.94, 1 F 2.00
F7 0.7260 0.7652 0.4449  1 Cu 1.94, 1 F 2.00
F8 0.0000 0.0000 0.0000  2 Cu 1.91
F9 0.4921 0.2158 0.2191  1 Cu 1.78
F10 0.2303 0.9819 0.6627  1 Cu 1.85, 1 F 2.00
F11 0.1761 0.8161 0.2166  1 Cu 1.78
F12 0.6476 0.5305 0.0258  1 F 1.41
F13 0.9030 0.5881 0.6659  1 Cu 1.79
Cu1 0.8624 0.8872 0.7251  6 F 1.78-1.94
Cu2 0.1376 0.1128 0.2749  6 F 1.78-1.94

- N(E_F) (states/eV/cell) = 9.9
- formation energy from raw total energies (eV per formula unit) = -8.4

VASP calculation (PBE) on crystalline Hf2V2SnRu5 at its relaxed geometry.

Lattice parameters (Å, degrees): 3.4641 9.7354 9.7354 90.00 90.00 90.00
Closest atoms and distances in Å follow each position.
Atoms (fractional coordinates):
Ru1 0.5000 0.5000 0.0000  4 V 2.41
Ru2 0.5000 0.2120 0.0674  2 V 2.43
Ru3 0.5000 0.5674 0.7120  2 V 2.43
Ru4 0.5000 0.0674 0.7880  2 V 2.43
Ru5 0.5000 0.0000 0.5000  4 V 2.41
Ru6 0.5000 0.9326 0.2120  2 V 2.43
Ru7 0.5000 0.4326 0.2880  2 V 2.43
Ru8 0.5000 0.7880 0.9326  2 V 2.43
Ru9 0.5000 0.2880 0.5674  2 V 2.43
Ru10 0.5000 0.7120 0.4326  2 V 2.43
Sn1 0.0000 0.5000 0.5000  8 Ru 2.77
Sn2 0.0000 0.0000 0.0000  8 Ru 2.77
V1 0.0000 0.1221 0.6221  6 Ru 2.41-2.43
V2 0.0000 0.8779 0.3779  6 Ru 2.41-2.43
V3 0.0000 0.6221 0.8779  6 Ru 2.41-2.43
V4 0.0000 0.3779 0.1221  6 Ru 2.41-2.43
Hf1 0.0000 0.6759 0.1759  3 V 2.78-2.95, 6 Ru 2.98-3.06
Hf2 0.0000 0.3241 0.8241  3 V 2.78-2.95, 6 Ru 2.98-3.06
Hf3 0.0000 0.1759 0.3241  3 V 2.78-2.95, 6 Ru 2.98-3.06
Hf4 0.0000 0.8241 0.6759  3 V 2.78-2.95, 6 Ru 2.98-3.06

- N(E_F) (states/eV/cell) = 12.0
- ΔE_f (eV/atom) = -0.244

VASP calculation (PBE) on crystalline CsPO3 at its relaxed geometry.

Lattice parameters (Å, degrees): 4.4084 4.4084 4.4084 90.00 90.00 90.00
Closest atoms and distances in Å follow each position.
Atoms (fractional coordinates):
P1 0.5000 0.5000 0.5000  12 O 3.12
O1 0.0000 0.0000 0.5000  2 Cs 2.20
O2 0.5000 0.0000 0.0000  2 Cs 2.20
O3 0.0000 0.5000 0.0000  2 Cs 2.20
Cs1 0.0000 0.0000 0.0000  6 O 2.20

- N(E_F) (states/eV/cell) = 4.3
- formation energy from raw total energies (eV per formula unit) = 6.9

VASP calculation (PBE) on crystalline Mg3Cu8Ge at its relaxed geometry.

Lattice parameters (Å, degrees): 4.9384 4.9384 8.6041 73.32 73.32 60.00
Closest atoms and distances in Å follow each position.
Atoms (fractional coordinates):
Cu1 0.9383 0.4379 0.1860  6 Cu 2.47-2.49
Cu2 0.4379 0.4379 0.1860  6 Cu 2.47-2.49
Cu3 0.6877 0.6877 0.9369  6 Cu 2.47-2.48
Cu4 0.4371 0.9377 0.6876  6 Cu 2.47-2.48
Cu5 0.1876 0.1876 0.4372  6 Cu 2.48-2.49
Cu6 0.9377 0.4371 0.6876  6 Cu 2.47-2.48
Cu7 0.9377 0.9377 0.6876  6 Cu 2.47-2.48
Cu8 0.4379 0.9383 0.1860  6 Cu 2.47-2.49
Mg1 0.9978 0.9978 0.0067  12 Cu 2.87-2.96, 1 Ge 3.02, 3 Mg 3.05
Mg2 0.5015 0.5015 0.4956  12 Cu 2.89-2.92, 3 Ge 3.00, 1 Mg 3.07
Mg3 0.3755 0.3755 0.8736  12 Cu 2.89-2.91, 4 Mg 3.05-3.07
Ge1 0.8736 0.8736 0.3791  12 Cu 2.88-2.92, 4 Mg 3.00-3.02

- N(E_F) (states/eV/cell) = 5.7
- ΔE_f (eV/atom) = -0.099

VASP calculation (PBE) on crystalline Er3Si4Pt at its relaxed geometry.

Lattice parameters (Å, degrees): 4.2273 5.6454 8.0077 110.64 105.30 90.00
Closest atoms and distances in Å follow each position.
Atoms (fractional coordinates):
Er1 0.8077 0.8077 0.6155  6 Si 2.87-2.91
Er2 0.1923 0.1923 0.3845  6 Si 2.87-2.91
Er3 0.0000 0.5000 0.0000  8 Si 2.98
Si1 0.3779 0.5842 0.7557  1 Si 2.33, 1 Pt 2.41
Si2 0.6221 0.4158 0.2443  1 Si 2.33, 1 Pt 2.41
Si3 0.6221 0.8285 0.2443  1 Si 2.33, 1 Pt 2.41
Si4 0.3779 0.1715 0.7557  1 Si 2.33, 1 Pt 2.41
Pt1 0.5000 0.0000 0.0000  4 Si 2.41

- N(E_F) (states/eV/cell) = 3.3
- formation energy from raw total energies (eV per formula unit) = -5.7

VASP calculation (PBE) on crystalline LiTlZn2Cl6 at its relaxed geometry.

Lattice parameters (Å, degrees): 7.2574 9.4294 9.4294 90.68 75.91 75.91
Closest atoms and distances in Å follow each position.
Atoms (fractional coordinates):
Cl1 0.0396 0.6949 0.5868  2 Zn 2.31-2.36
Cl2 0.5396 0.5868 0.6949  2 Zn 2.31-2.36
Cl3 0.7962 0.0375 0.2080  1 Zn 2.29, 1 Li 2.50
Cl4 0.5562 0.1648 0.6081  1 Zn 2.27, 1 Li 2.36
Cl5 0.0562 0.6081 0.1648  1 Zn 2.27, 1 Li 2.36
Cl6 0.2038 0.9625 0.7920  1 Zn 2.29, 1 Li 2.50
Cl7 0.7038 0.7920 0.9625  1 Zn 2.29, 1 Li 2.50
Cl8 0.2962 0.2080 0.0375  1 Zn 2.29, 1 Li 2.50
Cl9 0.9438 0.3919 0.8352  1 Zn 2.27, 1 Li 2.36
Cl10 0.4604 0.4132 0.3051  2 Zn 2.31-2.36
Cl11 0.4438 0.8352 0.3919  1 Zn 2.27, 1 Li 2.36
Cl12 0.9604 0.3051 0.4132  2 Zn 2.31-2.36
Zn1 0.8163 0.6181 0.7683  4 Cl 2.27-2.36
Zn2 0.3163 0.7683 0.6181  4 Cl 2.27-2.36
Zn3 0.1837 0.3819 0.2317  4 Cl 2.27-2.36
Zn4 0.6837 0.2317 0.3819  4 Cl 2.27-2.36
Li1 0.2500 0.2164 0.7836  4 Cl 2.36-2.50
Li2 0.7500 0.7836 0.2164  4 Cl 2.36-2.50
Tl1 0.7500 0.1223 0.8777  6 Cl 3.17-3.30
Tl2 0.2500 0.8777 0.1223  6 Cl 3.17-3.30

- N(E_F) (states/eV/cell) = 0.0
- formation energy from raw total energies (eV per formula unit) = -12.4

VASP calculation (PBE) on crystalline BeRe2Si at its relaxed geometry.

Lattice parameters (Å, degrees): 4.8655 4.8655 4.8655 143.51 131.23 62.42
Closest atoms and distances in Å follow each position.
Atoms (fractional coordinates):
Re1 0.0082 0.0082 0.0000  4 Si 2.52, 2 Be 2.54, 4 Re 2.68-2.81
Re2 0.7440 0.2440 0.5000  4 Be 2.52, 2 Si 2.57, 4 Re 2.68-2.81
Si1 0.4953 0.4953 0.0000  6 Re 2.52-2.57, 2 Be 2.53
Be1 0.2526 0.7526 0.5000  6 Re 2.52-2.54, 2 Si 2.53

- N(E_F) (states/eV/cell) = 2.6
- formation energy from raw total energies (eV per formula unit) = -0.1

Question: What is the N(E_F) in the sixth record?
Answer: 12.0 states/eV/cell